Entry 1:
# Pr5ErSi4

A relaxed Pr5ErSi4 crystal (GGA-PBE, Alexandria via LeMat-Bulk).

Geometry as extended XYZ:
```
10
Lattice="7.899 -2.535 0.000 7.899 2.535 0.000 -0.154 0.000 6.973" Properties=species:S:1:pos:R:3 pbc="T T T"
Pr 0.000 0.000 0.000
Pr 5.192 0.000 3.428
Pr 5.163 0.000 6.968
Pr 10.482 0.000 0.005
Pr 10.453 0.000 3.546
Er -0.077 0.000 3.487
Si 2.631 0.000 5.227
Si 7.661 0.000 5.118
Si 7.984 0.000 1.855
Si 13.014 0.000 1.747
```

Formation energy (no corrections) = -0.47 eV/atom
DOS(E_F) = 0.5225 states/eV per atom
Symmetry = C2/m

Entry 2:
# PmTl2In

A relaxed PmTl2In crystal (GGA-PBE, Alexandria via LeMat-Bulk).

Geometry as extended XYZ:
```
12
Lattice="3.533 0.000 0.000 -1.767 3.060 0.000 0.000 0.000 34.941" Properties=species:S:1:pos:R:3 pbc="T T T"
Pm 0.000 0.000 0.000
Pm 0.000 2.040 23.294
Pm 1.767 1.020 11.647
Tl 0.000 0.000 3.187
Tl 0.000 0.000 31.754
Tl 0.000 2.040 20.107
Tl 0.000 2.040 26.481
Tl 1.767 1.020 8.460
Tl 1.767 1.020 14.834
In 0.000 0.000 17.470
In 0.000 2.040 5.823
In 1.767 1.020 29.117
```

DOS(E_F) = 0.5704 states/eV per atom
Symmetry = R-3m
Calculated formation energy = 83.5 meV per atom

Entry 3:
# LiYPt2

A relaxed LiYPt2 crystal (GGA-PBE, Alexandria via LeMat-Bulk).

Geometry as extended XYZ:
```
8
Lattice="4.064 0.000 0.000 0.000 4.064 0.000 0.000 0.000 8.583" Properties=species:S:1:pos:R:3 pbc="T T T"
Li 0.000 0.000 0.000
Li 2.032 2.032 4.291
Y 0.000 2.032 6.437
Y 2.032 0.000 2.146
Pt 0.000 0.000 4.291
Pt 0.000 2.032 2.146
Pt 2.032 0.000 6.437
Pt 2.032 2.032 0.000
```

DOS(E_F) = 0.4425 states/eV per atom
Symmetry = I-4m2
Calculated formation energy = -868.8 meV per atom

Entry 4:
# Li2Pr3Pd5

A relaxed Li2Pr3Pd5 crystal (GGA-PBE, Alexandria via LeMat-Bulk).

Geometry as extended XYZ:
```
20
Lattice="10.139 0.000 0.000 0.000 10.139 0.000 0.000 0.000 3.830" Properties=species:S:1:pos:R:3 pbc="T T T"
Li 1.195 3.875 0.000
Li 3.875 8.945 0.000
Li 6.264 1.195 0.000
Li 8.945 6.264 0.000
Pr 0.000 0.000 0.000
Pr 1.783 6.853 0.000
Pr 3.287 1.783 0.000
Pr 5.070 5.070 0.000
Pr 6.853 8.356 0.000
Pr 8.356 3.287 0.000
Pd 0.000 5.070 1.915
Pd 0.708 2.235 1.915
Pd 2.235 9.432 1.915
Pd 2.835 4.362 1.915
Pd 4.362 7.304 1.915
Pd 5.070 0.000 1.915
Pd 5.777 2.835 1.915
Pd 7.304 5.777 1.915
Pd 7.905 0.708 1.915
Pd 9.432 7.905 1.915
```

DOS(E_F) = 0.4429 states/eV per atom
Symmetry = P4/mbm
Calculated formation energy = -650.5 meV per atom

Entry 5:
# Mg6NbSiO8

A relaxed Mg6NbSiO8 crystal (GGA-PBE, Alexandria via LeMat-Bulk).

Geometry as extended XYZ:
```
16
Lattice="4.328 0.000 0.000 0.000 4.328 0.000 0.000 0.000 8.841" Properties=species:S:1:pos:R:3 pbc="T T T"
Mg 0.000 0.000 0.000
Mg 0.000 2.164 2.138
Mg 0.000 2.164 6.702
Mg 2.164 0.000 2.138
Mg 2.164 0.000 6.702
Mg 2.164 2.164 0.000
Nb 0.000 0.000 4.420
Si 2.164 2.164 4.420
O 0.000 0.000 2.084
O 0.000 0.000 6.757
O 0.000 2.164 0.000
O 0.000 2.164 4.420
O 2.164 0.000 0.000
O 2.164 0.000 4.420
O 2.164 2.164 2.098
O 2.164 2.164 6.743
```

Formation energy (no corrections) = -2.11 eV/atom
DOS(E_F) = 0.2421 states/eV per atom
Offset from the most stable computed form = 0.0 meV/atom
Symmetry = P4/mmm

Entry 6:
# NbHOs

A relaxed NbHOs crystal (GGA-PBE, Alexandria via LeMat-Bulk).

Geometry as extended XYZ:
```
6
Lattice="4.691 0.000 0.000 0.000 2.944 0.000 -0.080 0.000 4.991" Properties=species:S:1:pos:R:3 pbc="T T T"
Nb 0.000 0.000 0.000
Nb 2.092 0.000 3.132
H 3.287 1.472 4.145
H 3.617 0.000 1.743
Os 2.202 1.472 0.672
Os 4.554 1.472 2.471
```

DOS(E_F) = 0.8660 states/eV per atom
Offset from the most stable computed form = 54.8 meV/atom
Symmetry = Pm

Entry 7:
# InCuH

A relaxed InCuH crystal (GGA-PBE, Alexandria via LeMat-Bulk).

Geometry as extended XYZ:
```
6
Lattice="3.190 0.000 0.000 0.000 3.098 0.000 0.000 0.000 8.538" Properties=species:S:1:pos:R:3 pbc="T T T"
In 0.000 0.000 0.000
In 0.000 1.549 4.269
Cu 1.595 0.000 6.140
Cu 1.595 1.549 1.871
H 1.595 0.000 2.422
H 1.595 1.549 6.691
```

DOS(E_F) = 0.1183 states/eV per atom
Offset from the most stable computed form = 70.1 meV/atom
Symmetry = Amm2

Entry 8:
# OsBrO2

A relaxed OsBrO2 crystal (GGA-PBE, Alexandria via LeMat-Bulk).

Geometry as extended XYZ:
```
12
Lattice="3.039 0.000 0.000 -1.520 2.632 0.000 0.000 0.000 25.289" Properties=species:S:1:pos:R:3 pbc="T T T"
Os 0.000 0.000 0.000
Os 0.000 1.755 16.860
Os 1.520 0.877 8.430
Br 0.000 0.000 12.645
Br 0.000 1.755 4.215
Br 1.520 0.877 21.074
O 0.000 0.000 9.459
O 0.000 0.000 15.830
O 0.000 1.755 1.029
O 0.000 1.755 7.400
O 1.520 0.877 17.889
O 1.520 0.877 24.260
```

Formation energy (no corrections) = -0.26 eV/atom
DOS(E_F) = 0.5407 states/eV per atom
Offset from the most stable computed form = 0.0 meV/atom
Symmetry = R-3m

Entry 9:
# Y2ErHf

A relaxed Y2ErHf crystal (GGA-PBE, Alexandria via LeMat-Bulk).

Geometry as extended XYZ:
```
4
Lattice="3.995 0.000 0.000 0.000 3.995 0.000 0.000 0.000 7.252" Properties=species:S:1:pos:R:3 pbc="T T T"
Y 0.000 0.000 1.634
Y 0.000 0.000 5.618
Er 1.998 1.998 3.626
Hf 1.998 1.998 0.000
```

DOS(E_F) = 1.8957 states/eV per atom
Offset from the most stable computed form = 111.8 meV/atom
Symmetry = P4/mmm
Calculated formation energy = 231.4 meV per atom

Entry 10:
# Ce3UAl8

A relaxed Ce3UAl8 crystal (GGA-PBE, Alexandria via LeMat-Bulk).

Geometry as extended XYZ:
```
12
Lattice="2.789 1.610 9.122 -2.789 1.610 9.122 0.000 -3.221 9.122" Properties=species:S:1:pos:R:3 pbc="T T T"
Ce 0.000 0.000 0.000
Ce 0.000 0.000 3.477
Ce 0.000 0.000 13.819
U 0.000 0.000 17.142
Al -1.399 -0.808 10.872
Al 0.000 -1.609 6.342
Al -1.393 0.804 6.342
Al 0.000 0.000 8.600
Al 1.399 -0.808 10.872
Al 0.000 1.615 10.872
Al 1.393 0.804 6.342
Al 0.000 0.000 22.290
```

DOS(E_F) = 1.8316 states/eV per atom
Symmetry = R3m
Calculated formation energy = -371.6 meV per atom

Entry 11:
# AuSe2BrN

A relaxed AuSe2BrN crystal (GGA-PBE, Alexandria via LeMat-Bulk).

Geometry as extended XYZ:
```
5
Lattice="5.354 0.000 0.000 0.000 5.354 0.000 0.000 0.000 3.664" Properties=species:S:1:pos:R:3 pbc="T T T"
Au 0.000 0.000 0.000
Se 0.000 2.677 1.832
Se 2.677 0.000 1.832
Br 2.677 2.677 1.832
N 2.677 2.677 0.000
```

Formation energy (no corrections) = 1.58 eV/atom
DOS(E_F) = 1.0026 states/eV per atom
Offset from the most stable computed form = 426.2 meV/atom
Symmetry = P4/mmm

Entry 12:
# Pa2OsW

A relaxed Pa2OsW crystal (GGA-PBE, Alexandria via LeMat-Bulk).

Geometry as extended XYZ:
```
12
Lattice="3.004 0.000 0.000 -1.502 2.602 0.000 0.000 0.000 31.001" Properties=species:S:1:pos:R:3 pbc="T T T"
Pa 0.000 0.000 2.788
Pa 0.000 0.000 28.213
Pa 0.000 1.735 17.879
Pa 0.000 1.735 23.456
Pa 1.502 0.867 7.545
Pa 1.502 0.867 13.122
Os 0.000 0.000 15.501
Os 0.000 1.735 5.167
Os 1.502 0.867 25.834
W 0.000 0.000 0.000
W 0.000 1.735 20.667
W 1.502 0.867 10.334
```

DOS(E_F) = 1.0827 states/eV per atom
Symmetry = R-3m
Calculated formation energy = 529.1 meV per atom

Q: Among the records above, which one has the highest DOS(E_F)?
A: Y2ErHf

Copy entry 11 word for word.
# AuSe2BrN

A relaxed AuSe2BrN crystal (GGA-PBE, Alexandria via LeMat-Bulk).

Geometry as extended XYZ:
```
5
Lattice="5.354 0.000 0.000 0.000 5.354 0.000 0.000 0.000 3.664" Properties=species:S:1:pos:R:3 pbc="T T T"
Au 0.000 0.000 0.000
Se 0.000 2.677 1.832
Se 2.677 0.000 1.832
Br 2.677 2.677 1.832
N 2.677 2.677 0.000
```

Formation energy (no corrections) = 1.58 eV/atom
DOS(E_F) = 1.0026 states/eV per atom
Offset from the most stable computed form = 426.2 meV/atom
Symmetry = P4/mmm

Q: Which formula does entry 10 have?
A: Ce3UAl8

Q: What is the DOS(E_F) in the tenth record?
A: 1.8316 states/eV per atom